(1)
Here is a geometry-optimized Ti5Ni6 structure from the Alexandria database. Energies are from PBE-GGA.

Values from the calculation:
- energy of formation from the pure elements (kcal/mol of atoms) = -5.17

Unit cell a=4.316 b=5.284 c=13.329 alpha=90.00 beta=90.00 gamma=90.00
Space group Immm (No. 71)
One atom of each set of equivalent atoms:
Ti (0.000, 0.000, 0.000) x2
Ti (0.000, 0.000, 0.314) x4
Ti (0.000, 0.500, 0.333) x4
Ni (0.000, 0.236, 0.500) x4
Ni (0.000, 0.269, 0.143) x8

=====

(2)
Here is a geometry-optimized YMnTl2Se4 structure from the Alexandria database. Energies are from PBE-GGA.

Values from the calculation:
- total DFT energy (no corrections) (eV/atom) = -5.106

Unit cell a=8.428 b=8.481 c=11.978 alpha=90.00 beta=90.00 gamma=90.00
Space group Imma (No. 74)
One atom of each set of equivalent atoms:
Y (0.000, 0.000, 0.000) x4
Mn (0.250, 0.250, 0.250) x4
Tl (0.000, 0.000, 0.500) x4
Tl (0.250, 0.250, 0.750) x4
Se (0.000, 0.043, 0.240) x8
Se (0.228, 0.250, 0.021) x8

=====

(3)
Here is a geometry-optimized GeH structure from the Alexandria database. Energies are from PBE-GGA.

Values from the calculation:
- total DFT energy (no corrections) (eV/atom) = -3.761

Unit cell a=3.597 b=3.597 c=4.996 alpha=90.00 beta=90.00 gamma=90.00
Space group P4/nmm (No. 129, origin choice 2)
One atom of each set of equivalent atoms:
Ge (0.250, 0.250, 0.065) x2
H (0.250, 0.250, 0.377) x2

=====

(4)
Here is a geometry-optimized Mg2AsHRh structure from the Alexandria database. Energies are from PBE-GGA.

Values from the calculation:
- total DFT energy (no corrections) (eV/atom) = -3.575

Unit cell a=5.053 b=5.053 c=4.483 alpha=90.00 beta=90.00 gamma=90.00
Space group P4/mmm (No. 123)
One atom of each set of equivalent atoms:
Mg (0.000, 0.500, 0.000) x2
As (0.000, 0.000, 0.500) x1
H (0.500, 0.500, 0.500) x1
Rh (0.000, 0.000, 0.000) x1

=====

(5)
Here is a geometry-optimized CeNdPt structure from the Alexandria database. Energies are from PBE-GGA.

Values from the calculation:
- energy of formation from the pure elements (kcal/mol of atoms) = -13.88

Unit cell a=7.057 b=7.057 c=7.057 alpha=90.00 beta=90.00 gamma=90.00
Space group F-43m (No. 216)
One atom of each set of equivalent atoms:
Ce (0.000, 0.000, 0.000) x4
Nd (0.000, 0.000, 0.500) x4
Pt (0.250, 0.250, 0.750) x4

=====

(6)
Here is a geometry-optimized Y2TaGe4Pt3 structure from the Alexandria database. Energies are from PBE-GGA.

Values from the calculation:
- energy of formation from the pure elements (kcal/mol of atoms) = -17.84

Unit cell a=4.179 b=4.179 c=10.996 alpha=90.00 beta=90.00 gamma=90.00
Space group P-4m2 (No. 115)
One atom of each set of equivalent atoms:
Y (0.000, 0.500, 0.245) x2
Ta (0.000, 0.000, 0.500) x1
Ge (0.000, 0.000, 0.000) x1
Ge (0.000, 0.500, 0.644) x2
Ge (0.500, 0.500, 0.000) x1
Pt (0.000, 0.500, 0.867) x2
Pt (0.500, 0.500, 0.500) x1

=====

(7)
Here is a geometry-optimized Pm7NdHo12 structure from the Alexandria database. Energies are from PBE-GGA.

Values from the calculation:
- energy of formation from the pure elements (kcal/mol of atoms) = 14.85

Unit cell a=11.280 b=11.280 c=11.280 alpha=90.00 beta=90.00 gamma=90.00
Space group Im-3m (No. 229)
One atom of each set of equivalent atoms:
Pm (0.000, 0.000, 0.500) x6
Pm (0.250, 0.250, 0.250) x8
Nd (0.000, 0.000, 0.000) x2
Ho (0.000, 0.251, 0.251) x24

=====

(8)
Here is a geometry-optimized Rb2Ga7Ge structure from the Alexandria database. Energies are from PBE-GGA.

Values from the calculation:
- energy of formation from the pure elements (kcal/mol of atoms) = -2.45

Unit cell a=4.589 b=4.589 c=11.261 alpha=90.00 beta=90.00 gamma=90.00
Space group P-4m2 (No. 115)
One atom of each set of equivalent atoms:
Rb (0.000, 0.500, 0.249) x2
Ga (0.000, 0.000, 0.000) x1
Ga (0.000, 0.000, 0.500) x1
Ga (0.000, 0.500, 0.630) x2
Ga (0.000, 0.500, 0.869) x2
Ga (0.500, 0.500, 0.500) x1
Ge (0.500, 0.500, 0.000) x1

=====

Total magnetization: 0.00 4.24 0.00 0.24 1.29 0.00 0.00 0.00 (μB/f.u.)
Density of states at the Fermi level: 20.230 14.639 1.723 1.751 37.490 4.903 56.136 3.982 (states/eV per cell)